Entry a
A plane-wave DFT calculation with PBE was carried out for a geometry-optimized LiTlTeN2 structure.

a b c (Å): 4.445 4.445 6.239
angles (deg): 90.00 90.00 90.00
Fractional positions:
Li  0.500  0.500  0.500
N  0.500  0.000  0.000
N  0.000  0.500  0.000
Te  0.000  0.000  0.500
Tl  0.000  0.000  0.000

Calculated values
Total magnetic moment (μB/f.u.): 3.83
Space-group type: P4/mmm
D(E_F) (states/eV per cell): 3.47

***

Entry b
A plane-wave DFT calculation with PBE was carried out for a geometry-optimized LiTlTeN2 structure.

a b c (Å): 4.365 4.365 5.597
angles (deg): 90.00 90.00 90.00
Fractional positions:
N  0.500  0.000  0.000
N  0.000  0.500  0.000
Li  0.000  0.000  0.000
Te  0.000  0.000  0.500
Tl  0.500  0.500  0.500

Calculated values
Total magnetic moment (μB/f.u.): 5.01
Space-group type: P4/mmm
D(E_F) (states/eV per cell): 1.89

***

Verdict on stability: entry b comes out at the bottom.

***

Entry a
A plane-wave DFT calculation with PBE was carried out for a geometry-optimized LiTlTe2N structure.

a b c (Å): 5.745 5.745 3.681
angles (deg): 90.00 90.00 90.00
Fractional positions:
Te  0.000  0.500  0.000
Te  0.500  0.000  0.000
Tl  0.500  0.500  0.500
Li  0.000  0.000  0.000
N  0.000  0.000  0.500

Calculated values
Total magnetic moment (μB/f.u.): 1.75
Space-group type: P4/mmm
D(E_F) (states/eV per cell): 4.89

***

Entry b
A plane-wave DFT calculation with PBE was carried out for a geometry-optimized LiTlTe2N structure.

a b c (Å): 6.056 6.056 4.257
angles (deg): 90.00 90.00 90.00
Fractional positions:
Te  0.500  0.000  0.000
Te  0.000  0.500  0.000
Li  0.500  0.500  0.500
N  0.000  0.000  0.500
Tl  0.000  0.000  0.000

Calculated values
Total magnetic moment (μB/f.u.): 2.47
Space-group type: P4/mmm
D(E_F) (states/eV per cell): 3.95

***

Verdict on stability: entry b comes out at the bottom.

***

Entry a
A plane-wave DFT calculation with PBE was carried out for a geometry-optimized LiVTe2N structure.

a b c (Å): 5.175 5.175 3.477
angles (deg): 90.00 90.00 90.00
Fractional positions:
Te  0.000  0.500  0.000
Te  0.500  0.000  0.000
V  0.500  0.500  0.500
N  0.000  0.000  0.500
Li  0.000  0.000  0.000

Calculated values
Total magnetic moment (μB/f.u.): 3.52
Space-group type: P4/mmm
D(E_F) (states/eV per cell): 4.44

***

Entry b
A plane-wave DFT calculation with PBE was carried out for a geometry-optimized LiVTe2N structure.

a b c (Å): 5.500 5.500 3.605
angles (deg): 90.00 90.00 90.00
Fractional positions:
Te  0.500  0.000  0.000
Te  0.000  0.500  0.000
Li  0.500  0.500  0.500
V  0.000  0.000  0.000
N  0.000  0.000  0.500

Calculated values
Total magnetic moment (μB/f.u.): 0.25
Space-group type: P4/mmm
D(E_F) (states/eV per cell): 3.34

***

Verdict on stability: entry a comes out at the bottom.

***

Entry a
A plane-wave DFT calculation with PBE was carried out for a geometry-optimized LiTe2WN structure.

a b c (Å): 5.502 5.502 3.830
angles (deg): 90.00 90.00 90.00
Fractional positions:
N  0.000  0.000  0.500
Li  0.500  0.500  0.500
W  0.000  0.000  0.000
Te  0.000  0.500  0.000
Te  0.500  0.000  0.000

Calculated values
Total magnetic moment (μB/f.u.): 0.00
Space-group type: P4/mmm
D(E_F) (states/eV per cell): 4.29

***

Entry b
A plane-wave DFT calculation with PBE was carried out for a geometry-optimized LiTe2WN structure.

a b c (Å): 5.053 5.053 3.423
angles (deg): 90.00 90.00 90.00
Fractional positions:
Li  0.000  0.000  0.000
Te  0.000  0.500  0.000
Te  0.500  0.000  0.000
N  0.000  0.000  0.500
W  0.500  0.500  0.500

Calculated values
Total magnetic moment (μB/f.u.): 1.72
Space-group type: P4/mmm
D(E_F) (states/eV per cell): 4.74

***

Verdict on stability: entry b comes out at the bottom.

***

Entry a
A plane-wave DFT calculation with PBE was carried out for a geometry-optimized LiYTeN2 structure.

a b c (Å): 4.224 4.224 4.589
angles (deg): 90.00 90.00 90.00
Fractional positions:
Te  0.000  0.000  0.500
Li  0.000  0.000  0.000
Y  0.500  0.500  0.500
N  0.000  0.500  0.000
N  0.500  0.000  0.000

Calculated values
Total magnetic moment (μB/f.u.): 2.01
Space-group type: P4/mmm
D(E_F) (states/eV per cell): 3.15

***

Entry b
A plane-wave DFT calculation with PBE was carried out for a geometry-optimized LiYTeN2 structure.

a b c (Å): 4.587 4.587 6.129
angles (deg): 90.00 90.00 90.00
Fractional positions:
N  0.000  0.500  0.000
N  0.500  0.000  0.000
Li  0.500  0.500  0.500
Y  0.000  0.000  0.000
Te  0.000  0.000  0.500

Calculated values
Total magnetic moment (μB/f.u.): 3.94
Space-group type: P4/mmm
D(E_F) (states/eV per cell): 3.06

***

Verdict on stability: entry a comes out at the bottom.

***

Entry a
A plane-wave DFT calculation with PBE was carried out for a geometry-optimized LiZnTeN2 structure.

a b c (Å): 4.005 4.005 5.975
angles (deg): 90.00 90.00 90.00
Fractional positions:
N  0.500  0.000  0.000
N  0.000  0.500  0.000
Li  0.500  0.500  0.500
Zn  0.000  0.000  0.000
Te  0.000  0.000  0.500

Calculated values
Total magnetic moment (μB/f.u.): 4.03
Space-group type: P4/mmm
D(E_F) (states/eV per cell): 2.55

***

Entry b
A plane-wave DFT calculation with PBE was carried out for a geometry-optimized LiZnTeN2 structure.

a b c (Å): 4.046 4.046 5.593
angles (deg): 90.00 90.00 90.00
Fractional positions:
Te  0.000  0.000  0.500
Li  0.000  0.000  0.000
N  0.500  0.000  0.000
N  0.000  0.500  0.000
Zn  0.500  0.500  0.500

Calculated values
Total magnetic moment (μB/f.u.): 4.78
Space-group type: P4/mmm
D(E_F) (states/eV per cell): 3.77

***

Verdict on stability: entry b comes out at the bottom.

***

Entry a
A plane-wave DFT calculation with PBE was carried out for a geometry-optimized LiThN2 structure.

a b c (Å): 3.756 3.756 6.362
angles (deg): 72.83 72.83 60.00
Fractional positions:
N  0.107  0.107  0.678
N  0.893  0.893  0.322
Th  0.500  0.500  0.500
Li  0.000  0.000  0.000

Calculated values
Total magnetic moment (μB/f.u.): 1.03
Space-group type: R-3m
D(E_F) (states/eV per cell): 2.79

***

Entry b
A plane-wave DFT calculation with PBE was carried out for a geometry-optimized LiThN2 structure.

a b c (Å): 3.623 3.623 6.174
angles (deg): 72.94 72.94 60.00
Fractional positions:
N  0.076  0.076  0.772
N  0.272  0.272  0.183
Li  0.481  0.481  0.556
Th  0.670  0.670  0.989

Calculated values
Total magnetic moment (μB/f.u.): 0.90
Space-group type: R3m
D(E_F) (states/eV per cell): 3.87

***

Verdict on stability: entry b comes out at the bottom.

***

Entry a
A plane-wave DFT calculation with PBE was carried out for a geometry-optimized LiTl2N2 structure.

a b c (Å): 6.736 6.736 3.477
angles (deg): 90.00 90.00 90.00
Fractional positions:
Tl  0.650  0.850  0.500
Tl  0.350  0.150  0.500
Tl  0.150  0.650  0.500
Tl  0.850  0.350  0.500
N  0.193  0.307  0.000
N  0.307  0.807  0.000
N  0.807  0.693  0.000
N  0.693  0.193  0.000
Li  0.000  0.000  0.000
Li  0.500  0.500  0.000

Calculated values
Total magnetic moment (μB/f.u.): 0.00
Space-group type: P4/mbm
D(E_F) (states/eV per cell): 2.83

***

Entry b
A plane-wave DFT calculation with PBE was carried out for a geometry-optimized LiTl2N2 structure.

a b c (Å): 6.119 6.119 5.263
angles (deg): 54.46 54.46 90.00
Fractional positions:
Tl  0.250  0.750  0.500
Tl  0.750  0.250  0.500
N  0.404  0.404  0.192
N  0.596  0.596  0.808
Li  0.000  0.000  0.000

Calculated values
Total magnetic moment (μB/f.u.): 0.00
Space-group type: I4/mmm
D(E_F) (states/eV per cell): 2.38

***

Verdict on stability: entry a comes out at the bottom.

***

Entry a
A plane-wave DFT calculation with PBE was carried out for a geometry-optimized Li2TlN structure.

a b c (Å): 5.442 5.442 6.260
angles (deg): 64.23 64.23 90.00
Fractional positions:
Li  0.375  0.125  0.250
Li  0.875  0.625  0.750
Li  0.375  0.625  0.750
Li  0.375  0.625  0.250
N  0.250  0.750  0.500
N  0.500  0.500  0.000
Tl  0.000  0.000  0.000
Tl  0.750  0.250  0.500

Calculated values
Total magnetic moment (μB/f.u.): 0.00
Space-group type: I4_1/amd
D(E_F) (states/eV per cell): 0.00

***

Entry b
A plane-wave DFT calculation with PBE was carried out for a geometry-optimized Li2TlN structure.

a b c (Å): 4.299 4.299 4.299
angles (deg): 60.00 60.00 60.00
Fractional positions:
Li  0.750  0.750  0.750
Li  0.250  0.250  0.250
Tl  0.500  0.500  0.500
N  0.000  0.000  0.000

Calculated values
Total magnetic moment (μB/f.u.): 0.00
Space-group type: Fm-3m
D(E_F) (states/eV per cell): 0.00

***

Verdict on stability: entry b comes out at the bottom.

***

Entry a
A plane-wave DFT calculation with PBE was carried out for a geometry-optimized LiTl3N structure.

a b c (Å): 5.042 5.042 5.042
angles (deg): 90.00 90.00 90.00
Fractional positions:
Tl  0.000  0.000  0.500
Tl  0.500  0.000  0.000
Tl  0.000  0.500  0.000
Li  0.500  0.500  0.500
N  0.000  0.000  0.000

Calculated values
Total magnetic moment (μB/f.u.): 0.21
Space-group type: Pm-3m
D(E_F) (states/eV per cell): 2.83

***

Entry b
A plane-wave DFT calculation with PBE was carried out for a geometry-optimized LiTl3N structure.

a b c (Å): 5.026 5.026 5.026
angles (deg): 90.00 90.00 90.00
Fractional positions:
Tl  0.000  0.000  0.500
Tl  0.500  0.000  0.000
Tl  0.000  0.500  0.000
Li  0.000  0.000  0.000
N  0.500  0.500  0.500

Calculated values
Total magnetic moment (μB/f.u.): 0.00
Space-group type: Pm-3m
D(E_F) (states/eV per cell): 7.98

***

Verdict on stability: entry b comes out at the bottom.

***

Entry a
A plane-wave DFT calculation with PBE was carried out for a geometry-optimized LiUN2 structure.

a b c (Å): 3.541 3.541 6.348
angles (deg): 73.80 73.80 60.00
Fractional positions:
Li  0.500  0.500  0.500
U  0.000  0.000  0.000
N  0.901  0.901  0.298
N  0.099  0.099  0.702

Calculated values
Total magnetic moment (μB/f.u.): 0.85
Space-group type: R-3m
D(E_F) (states/eV per cell): 3.75

***

Entry b
A plane-wave DFT calculation with PBE was carried out for a geometry-optimized LiUN2 structure.

a b c (Å): 6.361 6.361 6.361
angles (deg): 139.86 139.86 58.06
Fractional positions:
N  0.791  0.791  0.000
N  0.209  0.209  0.000
N  0.541  0.041  0.500
N  0.959  0.459  0.500
U  0.750  0.250  0.500
U  0.000  0.000  0.000
Li  0.500  0.500  0.000
Li  0.250  0.750  0.500

Calculated values
Total magnetic moment (μB/f.u.): 1.01
Space-group type: I4_1/amd
D(E_F) (states/eV per cell): 5.99

***

Verdict on stability: entry a comes out at the bottom.

***

Entry a
A plane-wave DFT calculation with PBE was carried out for a geometry-optimized LiUN2 structure.

a b c (Å): 3.475 3.475 6.010
angles (deg): 73.20 73.20 60.00
Fractional positions:
U  0.670  0.670  0.989
N  0.071  0.071  0.787
N  0.281  0.281  0.156
Li  0.477  0.477  0.568

Calculated values
Total magnetic moment (μB/f.u.): 1.01
Space-group type: R3m
D(E_F) (states/eV per cell): 3.43

***

Entry b
A plane-wave DFT calculation with PBE was carried out for a geometry-optimized LiUN2 structure.

a b c (Å): 2.866 2.866 5.852
angles (deg): 90.00 90.00 90.00
Fractional positions:
Li  0.500  0.500  0.500
N  0.000  0.000  0.218
N  0.000  0.000  0.782
U  0.500  0.500  0.000

Calculated values
Total magnetic moment (μB/f.u.): 0.29
Space-group type: P4/mmm
D(E_F) (states/eV per cell): 2.61

***

Entry c
A plane-wave DFT calculation with PBE was carried out for a geometry-optimized LiUN2 structure.

a b c (Å): 3.476 5.367 5.367
angles (deg): 90.00 90.00 89.99
Fractional positions:
U  0.243  0.733  0.358
U  0.659  0.233  0.858
N  0.169  0.421  0.670
N  0.169  0.045  0.046
N  0.733  0.921  0.546
N  0.733  0.545  0.170
Li  0.950  0.233  0.358
Li  0.951  0.733  0.858

Calculated values
Total magnetic moment (μB/f.u.): 1.00
Space-group type: P-42_1m
D(E_F) (states/eV per cell): 4.98

***

Verdict on stability: entry b comes out at the bottom.